Record 1
Here is an optimized crystal structure of Pa3Tl3AgSe8 from Alexandria via LeMat-Bulk. Energies are from PBE.

Cell: 8.280 8.276 9.202 Å, 116.71 90.00 120.02°
Positions (direct):
Pa: 0.000 0.500 0.500
Pa: 0.500 0.500 0.500
Pa: 0.500 0.000 0.500
Tl: 0.500 0.500 0.000
Tl: 0.000 0.000 0.000
Tl: 0.000 0.500 0.000
Se: 0.759 0.517 0.296
Se: 0.242 0.962 0.704
Se: 0.241 0.483 0.704
Se: 0.264 0.528 0.292
Se: 0.280 0.038 0.296
Se: 0.720 0.962 0.704
Se: 0.758 0.038 0.296
Se: 0.736 0.472 0.708
Ag: 0.000 0.000 0.500

Final energy   -5.3518 eV per atom
SG   R-3m, No. 166
Magnetic moment   3.0 μB per cell
Calculated density   7.279 g/cm3

Record 2
Here is an optimized crystal structure of PaTlAgSe4 from Alexandria via LeMat-Bulk. Energies are from PBE.

Cell: 7.368 5.727 9.760 Å, 90.00 112.14 90.00°
Positions (direct):
Pa: 0.729 0.750 0.445
Pa: 0.271 0.250 0.555
Se: 0.956 0.487 0.307
Se: 0.559 0.250 0.415
Se: 0.044 0.987 0.693
Se: 0.527 0.250 0.849
Se: 0.044 0.513 0.693
Se: 0.441 0.750 0.585
Se: 0.473 0.750 0.151
Se: 0.956 0.013 0.307
Tl: 0.731 0.750 0.948
Tl: 0.269 0.250 0.052
Ag: 0.757 0.250 0.711
Ag: 0.243 0.750 0.289

Final energy   -4.8660 eV per atom
SG   P2_1/m, No. 11
Magnetic moment   0.0 μB per cell
Calculated density   7.479 g/cm3

Record 3
Here is an optimized crystal structure of PaV2Ag2Se6 from Alexandria via LeMat-Bulk. Energies are from PBE.

Cell: 6.552 6.552 6.921 Å, 93.16 93.16 119.36°
Positions (direct):
Ag: 0.873 0.127 0.000
Ag: 0.127 0.873 0.000
V: 0.650 0.350 0.500
V: 0.350 0.650 0.500
Se: 0.327 0.327 0.262
Se: 0.019 0.389 0.712
Se: 0.673 0.673 0.738
Se: 0.611 0.981 0.288
Se: 0.981 0.611 0.288
Se: 0.389 0.019 0.712
Pa: 0.000 0.000 0.500

Final energy   -5.6579 eV per atom
SG   C2/m, No. 12
Magnetic moment   5.0 μB per cell
Calculated density   6.596 g/cm3